A plane-wave DFT calculation with GGA-PBE was carried out for an optimized crystal structure of Li4Ga2H.

a b c (Å): 3.7367 3.7367 7.5631
angles (deg): 75.70 75.70 90.00
Atoms (fractional coordinates):
H  0.0000  0.0000  0.0000
Ga  0.6856  0.6856  0.6288
Ga  0.3144  0.3144  0.3712
Li  0.8660  0.8660  0.2681
Li  0.1340  0.1340  0.7319
Li  0.0000  0.5000  0.0000
Li  0.5000  0.0000  0.0000

Computed properties:
Magnetic moment: 0.000 μB per atom
Space-group type: I4/mmm (139)
D(E_F): 0.39 states/eV per atom
Uncorrected energy: -0.095 Ha/atom